Ba2Bi3Pd2: relaxed, PBE.

Output
As for the energy above the most stable polymorph in this dataset: 1.5 kJ/mol of atoms. Its final energy is -0.3155 Ry per atom. The calculation puts the total magnetic moment at 0.00 Bohr magnetons per cell. The space group is C2/m (12). The calculation puts the formation energy from the elements at -0.596 eV per atom.

Cell lengths 6.415, 6.415, 8.064 Å; angles 109.67, 109.67, 43.73 degrees
Sites, in units of the cell vectors:
Ba 0.151 0.151 0.290
Ba 0.849 0.849 0.710
Bi 0.376 0.376 0.052
Bi 0.500 0.500 0.500
Bi 0.624 0.624 0.948
Pd 0.138 0.138 0.766
Pd 0.862 0.862 0.234

---

BaBi2Pd: relaxed, PBE.

Output
Its final energy is -0.2834 Ry per atom. The calculation puts the total magnetic moment at 0.33 Bohr magnetons per cell. The space group is R-3m (166). The calculation puts the formation energy from the elements at -0.137 eV per atom.

Cell lengths 9.769, 9.769, 9.769 Å; angles 26.18, 26.18, 26.18 degrees
Sites, in units of the cell vectors:
Ba 0.000 0.000 0.000
Bi 0.126 0.126 0.126
Bi 0.874 0.874 0.874
Pd 0.500 0.500 0.500

---

Ba2Bi3Pd: relaxed, PBE.

Output
Its final energy is -0.3027 Ry per atom. The calculation puts the total magnetic moment at 0.00 Bohr magnetons per cell. The space group is Pmm2 (25). The calculation puts the formation energy from the elements at -0.672 eV per atom.

Cell lengths 4.878, 5.069, 8.900 Å; angles 90.00, 90.00, 90.00 degrees
Sites, in units of the cell vectors:
Ba 0.000 0.000 0.000
Ba 0.000 0.500 0.483
Bi 0.500 0.000 0.609
Bi 0.500 0.500 0.184
Bi 0.500 0.500 0.820
Pd 0.500 0.000 0.301

---

Ba3Bi3Pd2: relaxed, PBE.

Output
Its final energy is -0.3107 Ry per atom. The calculation puts the total magnetic moment at 0.00 Bohr magnetons per cell. The space group is Cmcm (63). The calculation puts the formation energy from the elements at -0.753 eV per atom.

Cell lengths 6.648, 6.648, 17.012 Å; angles 90.00, 90.00, 135.70 degrees
Sites, in units of the cell vectors:
Ba 0.087 0.913 0.609
Ba 0.087 0.913 0.891
Ba 0.373 0.627 0.750
Ba 0.627 0.373 0.250
Ba 0.913 0.087 0.109
Ba 0.913 0.087 0.391
Bi 0.322 0.678 0.250
Bi 0.368 0.632 0.534
Bi 0.368 0.632 0.966
Bi 0.632 0.368 0.034
Bi 0.632 0.368 0.466
Bi 0.678 0.322 0.750
Pd 0.203 0.797 0.098
Pd 0.203 0.797 0.402
Pd 0.797 0.203 0.598
Pd 0.797 0.203 0.902

---

Ba2BiPd3: relaxed, PBE.

Output
As for the energy above the most stable polymorph in this dataset: 0.0 kJ/mol of atoms. Its final energy is -0.3283 Ry per atom. The calculation puts the total magnetic moment at 0.00 Bohr magnetons per cell. The space group is P6_3/mmc (194). The calculation puts the formation energy from the elements at -0.582 eV per atom.

Cell lengths 4.644, 4.644, 19.225 Å; angles 90.00, 90.00, 120.00 degrees
Sites, in units of the cell vectors:
Ba 0.000 0.000 0.114
Ba 0.000 0.000 0.386
Ba 0.000 0.000 0.614
Ba 0.000 0.000 0.886
Bi 0.333 0.667 0.250
Bi 0.667 0.333 0.750
Pd 0.333 0.667 0.000
Pd 0.333 0.667 0.500
Pd 0.333 0.667 0.750
Pd 0.667 0.333 0.000
Pd 0.667 0.333 0.250
Pd 0.667 0.333 0.500

---

BaBiPd3: relaxed, PBE.

Output
As for the energy above the most stable polymorph in this dataset: 0.0 kJ/mol of atoms. Its final energy is -0.3491 Ry per atom. The calculation puts the total magnetic moment at 0.00 Bohr magnetons per cell. The space group is Imma (74). The calculation puts the formation energy from the elements at -0.474 eV per atom.

Cell lengths 7.275, 7.275, 7.275 Å; angles 132.95, 96.24, 102.13 degrees
Sites, in units of the cell vectors:
Ba 0.284 0.034 0.250
Ba 0.716 0.966 0.750
Bi 0.000 0.500 0.500
Bi 0.500 0.500 0.000
Pd 0.095 0.345 0.750
Pd 0.229 0.000 0.729
Pd 0.229 0.500 0.229
Pd 0.771 0.000 0.271
Pd 0.771 0.500 0.771
Pd 0.905 0.655 0.250

---

Ba2BiPd: relaxed, PBE.

Output
Its final energy is -0.2870 Ry per atom. The calculation puts the total magnetic moment at 0.00 Bohr magnetons per cell. The space group is P2_1/m (11). The calculation puts the formation energy from the elements at -0.675 eV per atom.

Cell lengths 6.882, 5.001, 9.499 Å; angles 90.00, 111.04, 90.00 degrees
Sites, in units of the cell vectors:
Ba 0.231 0.250 0.445
Ba 0.232 0.250 0.916
Ba 0.768 0.750 0.084
Ba 0.769 0.750 0.555
Bi 0.339 0.750 0.208
Bi 0.661 0.250 0.792
Pd 0.423 0.750 0.726
Pd 0.577 0.250 0.274

---

BaBi7Pd2: relaxed, PBE.

Output
Its final energy is -0.2993 Ry per atom. The calculation puts the total magnetic moment at 0.00 Bohr magnetons per cell. The space group is Cmmm (65). The calculation puts the formation energy from the elements at -0.125 eV per atom.

Cell lengths 8.778, 8.778, 5.132 Å; angles 90.00, 90.00, 119.61 degrees
Sites, in units of the cell vectors:
Ba 0.000 0.000 0.000
Bi 0.058 0.338 0.500
Bi 0.236 0.764 0.000
Bi 0.338 0.058 0.500
Bi 0.500 0.500 0.500
Bi 0.662 0.942 0.500
Bi 0.764 0.236 0.000
Bi 0.942 0.662 0.500
Pd 0.311 0.689 0.500
Pd 0.689 0.311 0.500